Record 1
VASP calculation (PBE-GGA) on a relaxed Tb2Y5Bi5 crystal.

Calculated values
Total moment (Bohr magnetons per cell): 0.00
Formation enthalpy at 0 K (meV per atom): -622.9

Lattice parameters (Å, degrees): 14.6058 4.4459 12.8067 90.00 110.77 90.00
With the nearest neighbours (Å) after each atom.
Space group C2/m (No. 12)
Symmetry-distinct sites (fractional):
1 Tb 0.0482 0.0000 0.2866 (multiplicity 4)  4 Bi 3.03-3.12
2 Y 0.0000 0.5000 0.0000 (multiplicity 2)  4 Bi 3.11
3 Y 0.1618 0.5000 0.5323 (multiplicity 4)  5 Bi 3.16-3.38
4 Y 0.2144 0.5000 0.8384 (multiplicity 4)  5 Bi 3.04-3.25
5 Bi 0.0000 0.0000 0.5000 (multiplicity 2)  2 Tb 3.05, 4 Y 3.16
6 Bi 0.1196 0.0000 0.9357 (multiplicity 4)  1 Tb 3.03, 5 Y 3.04-3.11
7 Bi 0.1983 0.5000 0.2862 (multiplicity 4)  2 Tb 3.12, 5 Y 3.25-3.38


Record 2
VASP calculation (PBE-GGA) on a relaxed TbYBi crystal.

Calculated values
Total moment (Bohr magnetons per cell): 0.00
Formation enthalpy at 0 K (meV per atom): -284.9

Lattice parameters (Å, degrees): 5.2631 5.2631 3.8956 90.00 90.00 120.00
With the nearest neighbours (Å) after each atom.
Space group P3m1 (No. 156)
Symmetry-distinct sites (fractional):
1 Tb 0.0000 0.0000 0.0000 (multiplicity 1)  3 Bi 3.22, 3 Y 3.55
2 Y 0.6667 0.3333 0.5282 (multiplicity 1)  3 Bi 3.20, 3 Tb 3.55
3 Bi 0.3333 0.6667 0.2721 (multiplicity 1)  3 Y 3.20, 3 Tb 3.22


Record 3
VASP calculation (PBE-GGA) on a relaxed Tb3Y4Bi8 crystal.

Calculated values
Total moment (Bohr magnetons per cell): 0.00
Formation enthalpy at 0 K (meV per atom): -701.9

Lattice parameters (Å, degrees): 12.6349 12.6381 8.9307 90.00 134.97 90.00
With the nearest neighbours (Å) after each atom.
Space group C2/m (No. 12)
Symmetry-distinct sites (fractional):
1 Tb 0.0000 0.0000 0.0000 (multiplicity 2)  6 Bi 3.16
2 Tb 0.2500 0.2500 0.0000 (multiplicity 4)  6 Bi 3.16
3 Y 0.0000 0.5000 0.0000 (multiplicity 2)  6 Bi 3.16
4 Y 0.0000 0.5000 0.5000 (multiplicity 2)  6 Bi 3.22
5 Y 0.2500 0.2500 0.5000 (multiplicity 4)  6 Bi 3.16
6 Bi 0.0000 0.2453 0.5000 (multiplicity 4)  3 Y 3.16-3.22, 2 Tb 3.16
7 Bi 0.0000 0.2502 0.0000 (multiplicity 4)  3 Y 3.16, 3 Tb 3.16
8 Bi 0.2454 0.0000 0.5004 (multiplicity 4)  4 Y 3.16-3.22, 1 Tb 3.16
9 Bi 0.2455 0.0000 0.9905 (multiplicity 4)  2 Y 3.16-3.22, 3 Tb 3.16


Record 4
VASP calculation (PBE-GGA) on a relaxed TbY5Bi4 crystal.

Calculated values
Total moment (Bohr magnetons per cell): 0.00
Formation enthalpy at 0 K (meV per atom): -517.6

Lattice parameters (Å, degrees): 19.0098 4.4091 8.5290 90.00 106.29 90.00
With the nearest neighbours (Å) after each atom.
Space group C2/m (No. 12)
Symmetry-distinct sites (fractional):
1 Tb 0.0000 0.0000 0.0000 (multiplicity 2)  6 Bi 3.10
2 Y 0.0000 0.0000 0.5000 (multiplicity 2)  4 Bi 3.05
3 Y 0.1620 0.5000 0.8127 (multiplicity 4)  4 Bi 3.07-3.17
4 Y 0.1821 0.5000 0.3517 (multiplicity 4)  3 Bi 3.13-3.15
5 Bi 0.0109 0.5000 0.2606 (multiplicity 4)  4 Y 3.05-3.17, 2 Tb 3.10
6 Bi 0.1697 0.0000 0.0822 (multiplicity 4)  5 Y 3.07-3.16, 1 Tb 3.10


Record 5
VASP calculation (PBE-GGA) on a relaxed Tb4YBi3 crystal.

Calculated values
Total moment (Bohr magnetons per cell): 0.00
Formation enthalpy at 0 K (meV per atom): -610.9

Lattice parameters (Å, degrees): 11.9944 4.5352 10.1114 90.00 115.83 90.00
With the nearest neighbours (Å) after each atom.
Space group C2/m (No. 12)
Symmetry-distinct sites (fractional):
1 Tb 0.1261 0.0000 0.4031 (multiplicity 4)  4 Bi 3.11-3.24
2 Tb 0.1510 0.5000 0.8473 (multiplicity 4)  4 Bi 3.17-3.50
3 Y 0.0000 0.0000 0.0000 (multiplicity 2)  4 Bi 3.17
4 Bi 0.0000 0.5000 0.5000 (multiplicity 2)  6 Tb 3.11-3.17
5 Bi 0.1746 0.5000 0.2052 (multiplicity 4)  2 Y 3.17, 5 Tb 3.24-3.50


Record 6
VASP calculation (PBE-GGA) on a relaxed TbZnBi crystal.

Calculated values
Total moment (Bohr magnetons per cell): 0.00
Formation enthalpy at 0 K (meV per atom): -433.3

Lattice parameters (Å, degrees): 4.5167 4.5167 4.3971 90.00 90.00 120.00
With the nearest neighbours (Å) after each atom.
Space group P3m1 (No. 156)
Symmetry-distinct sites (fractional):
1 Tb 0.0000 0.0000 0.0000 (multiplicity 1)  3 Zn 2.91
2 Zn 0.6667 0.3333 0.7061 (multiplicity 1)  3 Bi 2.84, 3 Tb 2.91
3 Bi 0.3333 0.6667 0.4474 (multiplicity 1)  3 Zn 2.84


Record 7
VASP calculation (PBE-GGA) on a relaxed TbZn4Bi crystal.

Calculated values
Total moment (Bohr magnetons per cell): 0.00
Formation enthalpy at 0 K (meV per atom): -120.4

Lattice parameters (Å, degrees): 7.8590 7.8590 7.8590 90.00 90.00 90.00
With the nearest neighbours (Å) after each atom.
Space group F-43m (No. 216)
Symmetry-distinct sites (fractional):
1 Tb 0.0000 0.0000 0.0000 (multiplicity 4)  12 Zn 3.26, 4 Bi 3.40
2 Zn 0.1263 0.1263 0.3737 (multiplicity 16)  6 Zn 2.75-2.81
3 Bi 0.2500 0.2500 0.7500 (multiplicity 4)  12 Zn 3.26, 4 Tb 3.40


Record 8
VASP calculation (PBE-GGA) on a relaxed Tb2ZnBi crystal.

Calculated values
Total moment (Bohr magnetons per cell): 0.31
Distance to the lowest polymorph of the same formula (eV per atom): 0.000
Formation enthalpy at 0 K (meV per atom): -473.7

Lattice parameters (Å, degrees): 3.9283 3.9283 6.7906 90.00 90.00 90.00
With the nearest neighbours (Å) after each atom.
Space group P4/mmm (No. 123)
Symmetry-distinct sites (fractional):
1 Tb 0.0000 0.0000 0.2424 (multiplicity 2)  4 Zn 3.23, 4 Bi 3.28, 2 Tb 3.29-3.50
2 Zn 0.5000 0.5000 0.0000 (multiplicity 1)  8 Tb 3.23, 2 Bi 3.40
3 Bi 0.5000 0.5000 0.5000 (multiplicity 1)  8 Tb 3.28, 2 Zn 3.40